(1)
SrAc8Ni5: optimized geometry, PBE.

## Properties
The value obtained for the density of states at the Fermi level is 11.7 states/eV per cell. The value obtained for the total DFT energy (no corrections) is -4.698 eV/atom. As for the space-group type: C2/m. The value obtained for the total magnetization is 0.00 μB/cell.

Unit cell a=11.4686 b=11.4686 c=10.4271 alpha=104.36 beta=104.36 gamma=21.79
Fractional coordinates of all 14 atoms:
Sr 0.0000 0.0000 0.0000
Ac 0.0684 0.0684 0.6651
Ac 0.2485 0.2485 0.3301
Ac 0.3258 0.3258 0.0218
Ac 0.4011 0.4011 0.6333
Ac 0.5989 0.5989 0.3667
Ac 0.6742 0.6742 0.9782
Ac 0.7515 0.7515 0.6699
Ac 0.9316 0.9316 0.3349
Ni 0.1704 0.1704 0.5371
Ni 0.2045 0.2045 0.8108
Ni 0.5000 0.5000 0.5000
Ni 0.7955 0.7955 0.1892
Ni 0.8296 0.8296 0.4629



(2)
InSbAs: optimized geometry, PBE.

## Properties
The value obtained for the density of states at the Fermi level is 1.0 states/eV per cell. The relative energy among the computed polymorphs is 0.064 eV per atom. As for the space-group type: I4mm. The calculation puts the energy relative to the elements, uncorrected at 0.107 eV per atom. The value obtained for the total magnetization is 0.00 μB/cell.

Unit cell a=6.4736 b=6.4736 c=6.4736 alpha=147.22 beta=147.22 gamma=47.04
Fractional coordinates of all 3 atoms:
In 0.0000 0.0000 0.0000
Sb 0.2899 0.2899 0.0000
As 0.6816 0.6816 0.0000



(3)
ZnCd2Se: optimized geometry, PBE.

## Properties
The value obtained for the density of states at the Fermi level is 0.8 states/eV per cell. The relative energy among the computed polymorphs is 0.231 eV per atom. As for the space-group type: Fm-3m. The calculation puts the energy relative to the elements, uncorrected at 0.094 eV per atom. The value obtained for the total magnetization is 0.00 μB/cell.

Unit cell a=5.0258 b=5.0258 c=5.0258 alpha=60.00 beta=60.00 gamma=60.00
Fractional coordinates of all 4 atoms:
Zn 0.0000 0.0000 0.0000
Cd 0.2500 0.2500 0.2500
Cd 0.7500 0.7500 0.7500
Se 0.5000 0.5000 0.5000



(4)
TlTc2Ru: optimized geometry, PBE.

## Properties
The value obtained for the density of states at the Fermi level is 5.3 states/eV per cell. The relative energy among the computed polymorphs is 0.108 eV per atom. As for the space-group type: C2/m. The value obtained for the total magnetization is 0.00 μB/cell.

Unit cell a=4.9607 b=4.9607 c=4.8349 alpha=101.16 beta=101.16 gamma=34.22
Fractional coordinates of all 4 atoms:
Tl 0.0000 0.0000 0.0000
Tc 0.2356 0.2356 0.7115
Tc 0.7644 0.7644 0.2885
Ru 0.5000 0.5000 0.5000



(5)
BaNaNdTl: optimized geometry, PBE.

## Properties
The value obtained for the density of states at the Fermi level is 4.7 states/eV per cell. The value obtained for the total DFT energy (no corrections) is -2.658 eV/atom. As for the space-group type: F-43m. The value obtained for the total magnetization is 0.00 μB/cell.

Unit cell a=5.8704 b=5.8704 c=5.8704 alpha=60.00 beta=60.00 gamma=60.00
Fractional coordinates of all 4 atoms:
Ba 0.0000 0.0000 0.0000
Na 0.7500 0.7500 0.7500
Nd 0.5000 0.5000 0.5000
Tl 0.2500 0.2500 0.2500



(6)
NdZnPd: optimized geometry, PBE.

## Properties
The value obtained for the density of states at the Fermi level is 3.2 states/eV per cell. The value obtained for the total DFT energy (no corrections) is -4.385 eV/atom. As for the space-group type: P-6m2. The value obtained for the total magnetization is 0.00 μB/cell.

Unit cell a=4.4613 b=4.4613 c=3.8087 alpha=90.00 beta=90.00 gamma=120.00
Fractional coordinates of all 3 atoms:
Nd 0.0000 0.0000 0.0000
Zn 0.3333 0.6667 0.5000
Pd 0.6667 0.3333 0.5000



(7)
Pu2CuRu: optimized geometry, PBE.

## Properties
The value obtained for the density of states at the Fermi level is 10.8 states/eV per cell. The value obtained for the total DFT energy (no corrections) is -10.566 eV/atom. As for the space-group type: P4/mmm. The value obtained for the total magnetization is 10.58 μB/cell.

Unit cell a=3.2660 b=3.2660 c=7.5397 alpha=90.00 beta=90.00 gamma=90.00
Fractional coordinates of all 4 atoms:
Pu 0.0000 0.0000 0.2360
Pu 0.0000 0.0000 0.7640
Cu 0.5000 0.5000 0.5000
Ru 0.5000 0.5000 0.0000



(8)
Th2Al5Pd4: optimized geometry, PBE.

## Properties
The value obtained for the density of states at the Fermi level is 4.2 states/eV per cell. The value obtained for the total DFT energy (no corrections) is -5.736 eV/atom. As for the space-group type: Fmmm. The value obtained for the total magnetization is 0.00 μB/cell.

Unit cell a=9.4471 b=8.6095 c=5.4808 alpha=80.91 beta=64.14 gamma=34.95
Fractional coordinates of all 11 atoms:
Th 0.1261 0.1261 0.8739
Th 0.8739 0.8739 0.1261
Al 0.0000 0.0000 0.5000
Al 0.2500 0.2500 0.2500
Al 0.5000 0.5000 0.0000
Al 0.5000 0.5000 0.5000
Al 0.7500 0.7500 0.7500
Pd 0.2108 0.5268 0.4732
Pd 0.4732 0.7892 0.2108
Pd 0.5268 0.2108 0.7892
Pd 0.7892 0.4732 0.5268



(9)
CsPH2C: optimized geometry, PBE.

## Properties
The value obtained for the density of states at the Fermi level is 0.0 states/eV per cell. The relative energy among the computed polymorphs is 0.288 eV per atom. As for the space-group type: P1. The value obtained for the total magnetization is 0.04 μB/cell.

Unit cell a=5.3146 b=5.3279 c=6.8127 alpha=104.45 beta=101.72 gamma=114.60
Fractional coordinates of all 5 atoms:
Cs 0.0000 0.0000 0.0000
P 0.5556 0.8427 0.4031
H 0.3773 0.3782 0.7531
H 0.3982 0.2738 0.6681
C 0.4155 0.7290 0.1464



(10)
RbCdFe2P: optimized geometry, PBE.

## Properties
The value obtained for the density of states at the Fermi level is 5.4 states/eV per cell. The value obtained for the total DFT energy (no corrections) is -2.424 eV/atom. As for the space-group type: P4/mmm. The value obtained for the total magnetization is 5.51 μB/cell.

Unit cell a=4.6992 b=4.6992 c=5.7959 alpha=90.00 beta=90.00 gamma=90.00
Fractional coordinates of all 5 atoms:
Rb 0.0000 0.0000 0.0000
Cd 0.0000 0.0000 0.5000
Fe 0.0000 0.5000 0.0000
Fe 0.5000 0.0000 0.0000
P 0.5000 0.5000 0.5000



(11)
NaLa2Te4: optimized geometry, PBE.

## Properties
The value obtained for the density of states at the Fermi level is 5.7 states/eV per cell. The relative energy among the computed polymorphs is 0.276 eV per atom. As for the space-group type: I4/mmm. The calculation puts the energy relative to the elements, uncorrected at -0.959 eV per atom. The value obtained for the total magnetization is 0.00 μB/cell.

Unit cell a=9.0967 b=9.0967 c=9.0967 alpha=145.01 beta=145.01 gamma=50.31
Fractional coordinates of all 7 atoms:
Na 0.0000 0.0000 0.0000
La 0.3770 0.3770 0.0000
La 0.6230 0.6230 0.0000
Te 0.0000 0.5000 0.5000
Te 0.1907 0.1907 0.0000
Te 0.5000 0.0000 0.5000
Te 0.8093 0.8093 0.0000



(12)
Tb3Pr6Er2Th: optimized geometry, PBE.

## Properties
The value obtained for the density of states at the Fermi level is 16.2 states/eV per cell. The value obtained for the total DFT energy (no corrections) is -4.892 eV/atom. As for the space-group type: C2/m. The value obtained for the total magnetization is 0.00 μB/cell.

Unit cell a=6.2968 b=6.2968 c=11.9930 alpha=95.04 beta=95.04 gamma=119.96
Fractional coordinates of all 12 atoms:
Tb 0.0000 0.0000 0.0000
Tb 0.3333 0.6667 0.0000
Tb 0.6667 0.3333 0.0000
Pr 0.0867 0.4169 0.2513
Pr 0.2532 0.2532 0.7482
Pr 0.4169 0.0867 0.2513
Pr 0.5831 0.9133 0.7487
Pr 0.7468 0.7468 0.2518
Pr 0.9133 0.5831 0.7487
Er 0.1666 0.8334 0.5000
Er 0.8334 0.1666 0.5000
Th 0.5000 0.5000 0.5000